Below is an optimized crystal structure of Pm6SnBi5, with properties calculated at the PBE level.

Theoretical density: 8.368 g cm⁻³
Volume: 33.6 Å³/atom
Formation energy: -0.878 eV/atom
Density of states at the Fermi level: 4.724 states/eV per cell
Calculated total energy: -5.2041 eV per atom

a = 7.897 Å, b = 7.912 Å, c = 7.913 Å
α = 60.00°, β = 80.38°, γ = 70.48°
Atoms (fractional coordinates):
1 Bi 0.500 0.169 0.663
2 Bi 0.000 0.334 0.332
3 Bi 0.500 0.500 0.000
4 Bi 0.000 0.666 0.668
5 Bi 0.500 0.831 0.337
6 Sn 0.000 0.000 0.000
7 Pm 0.753 0.082 0.330
8 Pm 0.247 0.587 0.330
9 Pm 0.249 0.247 0.000
10 Pm 0.751 0.753 0.000
11 Pm 0.753 0.413 0.670
12 Pm 0.247 0.918 0.670